This record from Alexandria via LeMat-Bulk describes a geometry-optimized Rb2Nb3VO12 structure. The functional is PBE with a Hubbard U.

extended XYZ file:
```
18
Lattice="7.3734 -0.0382 -0.0271 3.6081 6.4304 -0.0271 3.6081 2.1002 6.0778" Properties=species:S:1:pos:R:3 pbc="T T T"
Rb 9.1375 5.3188 3.7726
O 7.7141 4.4902 0.3297
Rb 5.4522 3.1736 2.2510
O 9.2187 2.6714 1.8948
O 6.8756 4.0022 5.6938
O 8.9881 8.0262 5.6929
Nb 3.6867 -0.0191 -0.0136
O 3.1718 1.8462 4.2703
O 5.6016 0.4662 0.3307
O 5.3710 5.8210 4.1288
O 7.7141 1.7956 4.1288
O 11.4179 6.6462 1.7532
V 0.0000 0.0000 0.0000
O 6.8756 6.6968 1.8948
O 3.1718 4.6406 0.3307
O 11.4179 3.8518 5.6929
Nb 1.8041 1.0501 3.0389
Nb 1.8041 3.2152 -0.0136
```

* spin magnetization: 2.1 μB per cell
* VASP energy: -7.60 eV per atom